Density functional theory data (GGA-PBE) for a relaxed structure of Zr4In2C.

a = 5.886 Å, b = 3.268 Å, c = 8.068 Å
α = 90.00°, β = 105.45°, γ = 90.00°
Space group P2/m (No. 10)
Inequivalent atoms, fractional coordinates:
Zr  0.087  0.000  0.307
Zr  0.254  0.500  0.010
In  0.374  0.500  0.650
C  0.000  0.000  0.000

Properties
Its volume is 21.4 Å³ per atom. The formation energy comes out at -0.261 eV per atom. As for the total energy: -0.533 Ry per atom. The energy above the most stable polymorph in this dataset comes out at 0.557 eV per formula unit. Its density of states at the Fermi level is 5.41 states/eV per cell.